No. 1
# K2RhPb | Alexandria via LeMat-Bulk | PBE-GGA | optimized geometry
data_K2RhPb
_chemical_formula_sum 'K6 Rh3 Pb3'
_cell_length_a 3.3907
_cell_length_b 3.3907
_cell_length_c 34.6873
_cell_angle_alpha 90.00
_cell_angle_beta 90.00
_cell_angle_gamma 120.00
_symmetry_space_group_name_H-M 'R -3 m'
_symmetry_Int_Tables_number 166
_symmetry_space_group_name_Hall '-R 3 2"'
loop_
_atom_site_label
_atom_site_type_symbol
_atom_site_fract_x
_atom_site_fract_y
_atom_site_fract_z
K1 K 0.0000 0.0000 0.2375
Rh1 Rh 0.0000 0.0000 0.5000
Pb1 Pb 0.0000 0.0000 0.0000
# * total energy: -2.79 eV per atom
# * energy of formation: 523 meV per atom

***

No. 2
# Ba2YHSe | Alexandria via LeMat-Bulk | PBE-GGA | optimized geometry
data_Ba2YHSe
_chemical_formula_sum 'Ba2 Y1 H1 Se1'
_cell_length_a 6.365
_cell_length_b 6.365
_cell_length_c 4.110
_cell_angle_alpha 90.00
_cell_angle_beta 90.00
_cell_angle_gamma 90.00
_symmetry_space_group_name_H-M 'P 4/m m m'
_symmetry_Int_Tables_number 123
_symmetry_space_group_name_Hall '-P 4 2'
loop_
_atom_site_label
_atom_site_type_symbol
_atom_site_fract_x
_atom_site_fract_y
_atom_site_fract_z
Ba1 Ba 0.000 0.500 0.000
Y1 Y 0.000 0.000 0.000
H1 H 0.000 0.000 0.500
Se1 Se 0.500 0.500 0.500
# * total energy: -3.49 eV per atom

***

No. 3
# YC | Alexandria via LeMat-Bulk | PBE-GGA | optimized geometry
data_YC
_chemical_formula_sum 'Y1 C1'
_cell_length_a 3.6196
_cell_length_b 3.6196
_cell_length_c 2.9798
_cell_angle_alpha 90.00
_cell_angle_beta 90.00
_cell_angle_gamma 120.00
_symmetry_space_group_name_H-M 'P -6 m 2'
_symmetry_Int_Tables_number 187
_symmetry_space_group_name_Hall 'P -6 2'
loop_
_atom_site_label
_atom_site_type_symbol
_atom_site_fract_x
_atom_site_fract_y
_atom_site_fract_z
Y1 Y 0.0000 0.0000 0.0000
C1 C 0.3333 0.6667 0.5000
# * total energy: -7.41 eV per atom
# * energy of formation: 434 meV per atom
# * energy above the lowest structure with this stoichiometry: 0.648 eV per atom